{
  "formula": "BeAlCr3",
  "functional": "GGA-PBE",
  "state": "relaxed",
  "total_energy_ev_per_atom": -5.610,
  "relative_energy_ev_per_fu": 4.96,
  "e_form_ev_per_fu": 8.3,
  "cell": [[4.5078, 0.0000, 0.0000], [0.0000, 4.5078, 0.0000], [0.0000, 0.0000, 4.5078]],
  "species": ["Be", "Al", "Cr", "Cr", "Cr"],
  "fractional_positions": [[0.0000, 0.0000, 0.0000], [0.5000, 0.5000, 0.5000], [0.0000, 0.5000, 0.5000], [0.5000, 0.0000, 0.5000], [0.5000, 0.5000, 0.0000]]
}